{"formula": "NbCoO3", "functional": "PBE+U", "state": "optimized geometry", "cell": [[2.592, 1.496, 4.767], [-2.592, 1.496, 4.767], [0.000, -2.993, 4.767]], "species": ["Co", "Co", "O", "O", "O", "O", "O", "O", "Nb", "Nb"], "fractional_positions": [[0.349, 0.349, 0.349], [0.651, 0.651, 0.651], [0.937, 0.244, 0.565], [0.063, 0.756, 0.435], [0.435, 0.063, 0.756], [0.565, 0.937, 0.244], [0.244, 0.565, 0.937], [0.756, 0.435, 0.063], [0.151, 0.151, 0.151], [0.849, 0.849, 0.849]], "vol_a3_per_atom": 11.1, "density_g_cm3": 5.98, "total_energy_ev_per_atom": -7.833, "space_group": "R-3"}